DFT (GGA+U) results for a relaxed CaMn7O12 crystal.

Lattice parameters (Å, degrees): 6.4972 6.4985 6.4985 109.47 109.47 109.47
Last column: nearest neighbours and their distance in Å.
Element x y z (fractional)
O  0.5130  0.8215  0.6914  3 Mn 1.96-2.00
O  0.3085  0.1301  0.8215  3 Mn 1.96-2.00
O  0.6915  0.5130  0.8216  3 Mn 1.96-2.00
O  0.1785  0.6914  0.8699  3 Mn 1.96-2.00
O  0.8215  0.3086  0.1301  3 Mn 1.96-2.00
O  0.3085  0.4870  0.1784  3 Mn 1.96-2.00
O  0.1785  0.3086  0.4870  3 Mn 1.96-2.00
O  0.8699  0.1784  0.6915  3 Mn 1.96-2.00
O  0.8215  0.6914  0.5130  3 Mn 1.96-2.00
O  0.6915  0.8699  0.1785  3 Mn 1.96-2.00
O  0.4870  0.1785  0.3086  3 Mn 1.96-2.00
O  0.1301  0.8216  0.3085  3 Mn 1.96-2.00
Mn  0.5000  0.5000  0.0000  4 O 1.96
Mn  0.0000  0.5000  0.0000  6 O 2.00
Mn  0.5000  0.0000  0.0000  6 O 2.00
Mn  0.0000  0.0000  0.5000  6 O 2.00
Mn  0.5000  0.0000  0.5000  4 O 1.96
Mn  0.5000  0.5000  0.5000  6 O 2.00
Mn  0.0000  0.5000  0.5000  4 O 1.96
Ca  0.0000  0.0000  0.0000  12 O 2.67

Values from the calculation:
**Magnetization**: 27.000 μB per cell
**VASP energy**: -7.404 eV/atom
**Density**: 4.85 g/cm3
**D(E_F)**: 0.216 states/eV/atom